1.
VASP calculation (meta-GGA SCAN) on Tl2Sb2Cl at its PBEsol-relaxed geometry.

Summary:
Raw total energy   -45.783 eV/atom

Structure (CIF):
```
data_Tl2Sb2Cl
_symmetry_space_group_name_H-M 'I 4/m m m'
_symmetry_Int_Tables_number 139
_symmetry_space_group_name_Hall '-I 4 2'
_cell_length_a 4.156
_cell_length_b 4.156
_cell_length_c 17.832
_cell_angle_alpha 90.00
_cell_angle_beta 90.00
_cell_angle_gamma 90.00
loop_
_atom_site_label
_atom_site_type_symbol
_atom_site_fract_x
_atom_site_fract_y
_atom_site_fract_z
Tl1 Tl 0.000 0.000 0.091
Sb1 Sb 0.000 0.500 0.250
Cl1 Cl 0.000 0.000 0.500
```


2.
VASP calculation (meta-GGA SCAN) on TlSbCl2 at its PBEsol-relaxed geometry.

Summary:
Distance to the lowest polymorph of the same formula   0.0553 eV per atom

Structure (CIF):
```
data_TlSbCl2
_symmetry_space_group_name_H-M 'C m m m'
_symmetry_Int_Tables_number 65
_symmetry_space_group_name_Hall '-C 2 2'
_cell_length_a 7.613
_cell_length_b 7.677
_cell_length_c 3.323
_cell_angle_alpha 90.00
_cell_angle_beta 90.00
_cell_angle_gamma 90.00
loop_
_atom_site_label
_atom_site_type_symbol
_atom_site_fract_x
_atom_site_fract_y
_atom_site_fract_z
Tl1 Tl 0.000 0.000 0.000
Sb1 Sb 0.000 0.500 0.000
Cl1 Cl 0.250 0.250 0.500
```


3.
VASP calculation (meta-GGA SCAN) on TlSbCl2 at its PBEsol-relaxed geometry.

Summary:
Distance to the lowest polymorph of the same formula   0.0000 eV per atom

Structure (CIF):
```
data_TlSbCl2
_symmetry_space_group_name_H-M 'P 4/m m m'
_symmetry_Int_Tables_number 123
_symmetry_space_group_name_Hall '-P 4 2'
_cell_length_a 3.321
_cell_length_b 3.321
_cell_length_c 8.719
_cell_angle_alpha 90.00
_cell_angle_beta 90.00
_cell_angle_gamma 90.00
loop_
_atom_site_label
_atom_site_type_symbol
_atom_site_fract_x
_atom_site_fract_y
_atom_site_fract_z
Tl1 Tl 0.000 0.000 0.000
Sb1 Sb 0.000 0.000 0.500
Cl1 Cl 0.500 0.500 0.241
```


4.
VASP calculation (meta-GGA SCAN) on TlSbCl2 at its PBEsol-relaxed geometry.

Summary:
Distance to the lowest polymorph of the same formula   0.2855 eV per atom

Structure (CIF):
```
data_TlSbCl2
_symmetry_space_group_name_H-M 'F -4 3 m'
_symmetry_Int_Tables_number 216
_symmetry_space_group_name_Hall 'F -4 2 3'
_cell_length_a 7.197
_cell_length_b 7.197
_cell_length_c 7.197
_cell_angle_alpha 90.00
_cell_angle_beta 90.00
_cell_angle_gamma 90.00
loop_
_atom_site_label
_atom_site_type_symbol
_atom_site_fract_x
_atom_site_fract_y
_atom_site_fract_z
Tl1 Tl 0.000 0.000 0.000
Sb1 Sb 0.250 0.250 0.250
Cl1 Cl 0.000 0.000 0.500
Cl2 Cl 0.250 0.250 0.750
```


5.
VASP calculation (meta-GGA SCAN) on SbW3Cl at its PBEsol-relaxed geometry.

Summary:
Raw total energy   -47.724 eV/atom

Structure (CIF):
```
data_SbW3Cl
_symmetry_space_group_name_H-M 'P m -3 m'
_symmetry_Int_Tables_number 221
_symmetry_space_group_name_Hall '-P 4 2 3'
_cell_length_a 4.919
_cell_length_b 4.919
_cell_length_c 4.919
_cell_angle_alpha 90.00
_cell_angle_beta 90.00
_cell_angle_gamma 90.00
loop_
_atom_site_label
_atom_site_type_symbol
_atom_site_fract_x
_atom_site_fract_y
_atom_site_fract_z
Sb1 Sb 0.000 0.000 0.000
W1 W 0.000 0.000 0.500
Cl1 Cl 0.500 0.500 0.500
```


6.
VASP calculation (meta-GGA SCAN) on SbWCl at its PBEsol-relaxed geometry.

Summary:
Raw total energy   -37.450 eV/atom

Structure (CIF):
```
data_SbWCl
_symmetry_space_group_name_H-M 'I m m 2'
_symmetry_Int_Tables_number 44
_symmetry_space_group_name_Hall 'I 2 -2'
_cell_length_a 2.924
_cell_length_b 4.740
_cell_length_c 8.246
_cell_angle_alpha 90.00
_cell_angle_beta 90.00
_cell_angle_gamma 90.00
loop_
_atom_site_label
_atom_site_type_symbol
_atom_site_fract_x
_atom_site_fract_y
_atom_site_fract_z
Sb1 Sb 0.000 0.000 0.000
W1 W 0.000 0.000 0.637
Cl1 Cl 0.000 0.000 0.353
```


7.
VASP calculation (meta-GGA SCAN) on YSbCl2 at its PBEsol-relaxed geometry.

Summary:
Raw total energy   -21.677 eV/atom

Structure (CIF):
```
data_YSbCl2
_symmetry_space_group_name_H-M 'I m m m'
_symmetry_Int_Tables_number 71
_symmetry_space_group_name_Hall '-I 2 2'
_cell_length_a 3.336
_cell_length_b 5.848
_cell_length_c 11.397
_cell_angle_alpha 90.00
_cell_angle_beta 90.00
_cell_angle_gamma 90.00
loop_
_atom_site_label
_atom_site_type_symbol
_atom_site_fract_x
_atom_site_fract_y
_atom_site_fract_z
Y1 Y 0.000 0.000 0.000
Sb1 Sb 0.000 0.000 0.500
Cl1 Cl 0.000 0.500 0.321
```


8.
VASP calculation (meta-GGA SCAN) on YSbCl at its PBEsol-relaxed geometry.

Summary:
Raw total energy   -25.334 eV/atom

Structure (CIF):
```
data_YSbCl
_symmetry_space_group_name_H-M 'F -4 3 m'
_symmetry_Int_Tables_number 216
_symmetry_space_group_name_Hall 'F -4 2 3'
_cell_length_a 7.021
_cell_length_b 7.021
_cell_length_c 7.021
_cell_angle_alpha 90.00
_cell_angle_beta 90.00
_cell_angle_gamma 90.00
loop_
_atom_site_label
_atom_site_type_symbol
_atom_site_fract_x
_atom_site_fract_y
_atom_site_fract_z
Y1 Y 0.000 0.000 0.000
Sb1 Sb 0.250 0.250 0.750
Cl1 Cl 0.250 0.250 0.250
```


9.
VASP calculation (meta-GGA SCAN) on ZnSb2Cl at its PBEsol-relaxed geometry.

Summary:
Distance to the lowest polymorph of the same formula   0.1873 eV per atom

Structure (CIF):
```
data_ZnSb2Cl
_symmetry_space_group_name_H-M 'F m -3 m'
_symmetry_Int_Tables_number 225
_symmetry_space_group_name_Hall '-F 4 2 3'
_cell_length_a 6.990
_cell_length_b 6.990
_cell_length_c 6.990
_cell_angle_alpha 90.00
_cell_angle_beta 90.00
_cell_angle_gamma 90.00
loop_
_atom_site_label
_atom_site_type_symbol
_atom_site_fract_x
_atom_site_fract_y
_atom_site_fract_z
Zn1 Zn 0.000 0.000 0.000
Sb1 Sb 0.250 0.250 0.250
Cl1 Cl 0.000 0.000 0.500
```


10.
VASP calculation (meta-GGA SCAN) on ZnSb2Cl at its PBEsol-relaxed geometry.

Summary:
Distance to the lowest polymorph of the same formula   0.0000 eV per atom

Structure (CIF):
```
data_ZnSb2Cl
_symmetry_space_group_name_H-M 'P m m m'
_symmetry_Int_Tables_number 47
_symmetry_space_group_name_Hall '-P 2 2'
_cell_length_a 3.329
_cell_length_b 3.438
_cell_length_c 7.721
_cell_angle_alpha 90.00
_cell_angle_beta 90.00
_cell_angle_gamma 90.00
loop_
_atom_site_label
_atom_site_type_symbol
_atom_site_fract_x
_atom_site_fract_y
_atom_site_fract_z
Zn1 Zn 0.000 0.000 0.000
Sb1 Sb 0.500 0.500 0.213
Cl1 Cl 0.000 0.000 0.500
```


11.
VASP calculation (meta-GGA SCAN) on ZnSb2Cl at its PBEsol-relaxed geometry.

Summary:
Distance to the lowest polymorph of the same formula   0.1288 eV per atom

Structure (CIF):
```
data_ZnSb2Cl
_symmetry_space_group_name_H-M 'R -3 m'
_symmetry_Int_Tables_number 166
_symmetry_space_group_name_Hall '-R 3 2"'
_cell_length_a 3.3378
_cell_length_b 3.3378
_cell_length_c 27.4708
_cell_angle_alpha 90.00
_cell_angle_beta 90.00
_cell_angle_gamma 120.00
loop_
_atom_site_label
_atom_site_type_symbol
_atom_site_fract_x
_atom_site_fract_y
_atom_site_fract_z
Zn1 Zn 0.0000 0.0000 0.0000
Sb1 Sb 0.0000 0.0000 0.2534
Cl1 Cl 0.0000 0.0000 0.5000
```


12.
VASP calculation (meta-GGA SCAN) on ZnSb2Cl at its PBEsol-relaxed geometry.

Summary:
Distance to the lowest polymorph of the same formula   0.1197 eV per atom

Structure (CIF):
```
data_ZnSb2Cl
_symmetry_space_group_name_H-M 'P m m m'
_symmetry_Int_Tables_number 47
_symmetry_space_group_name_Hall '-P 2 2'
_cell_length_a 3.260
_cell_length_b 4.908
_cell_length_c 5.692
_cell_angle_alpha 90.00
_cell_angle_beta 90.00
_cell_angle_gamma 90.00
loop_
_atom_site_label
_atom_site_type_symbol
_atom_site_fract_x
_atom_site_fract_y
_atom_site_fract_z
Zn1 Zn 0.000 0.000 0.000
Sb1 Sb 0.000 0.500 0.500
Sb2 Sb 0.500 0.500 0.000
Cl1 Cl 0.500 0.000 0.500
```


- What is the formula in the eighth record?
  YSbCl